YCuSiNi | PBE | optimized geometry

Values from the calculation:
- Crystal system: cubic
- Calculated volume: 255.90 Å³ per cell
- E above lowest polymorph: 0.1238 eV per atom

Structure (CIF):
```
data_YCuSiNi
_chemical_formula_sum 'Y4 Cu4 Si4 Ni4'
_cell_length_a 6.349
_cell_length_b 6.349
_cell_length_c 6.349
_cell_angle_alpha 90.00
_cell_angle_beta 90.00
_cell_angle_gamma 90.00
_symmetry_space_group_name_H-M 'F -4 3 m'
_symmetry_Int_Tables_number 216
_symmetry_space_group_name_Hall 'F -4 2 3'
loop_
_atom_site_label
_atom_site_type_symbol
_atom_site_fract_x
_atom_site_fract_y
_atom_site_fract_z
Y1 Y 0.000 0.000 0.000
Cu1 Cu 0.250 0.250 0.250
Si1 Si 0.250 0.250 0.750
Ni1 Ni 0.000 0.000 0.500
```